Below is a relaxed structure of K2BaIrO5, with properties calculated at the PBE level.

The structure in extended XYZ format:
```
9
Lattice="-1.959 3.010 6.379 1.959 -3.010 6.379 1.959 3.010 -6.379" Properties=species:S:1:pos:R:3 pbc="T T T"
K 0.000 0.000 2.789
K 0.000 0.000 9.970
Ba 0.000 3.010 0.000
Ir 1.959 0.000 0.000
O 0.000 0.000 0.000
O 1.959 1.404 -1.371
O 1.959 1.404 1.371
O 0.000 1.607 5.008
O 0.000 1.607 7.750
```

Energy relative to the elements, uncorrected = -1478 meV/atom
Magnetic moment = 2.9 μB per formula unit
Space group = No. 71
DFT total energy = -5.675 eV per atom
Crystal system = orthorhombic